Entry from Alexandria: a relaxed HfTaGaRu2 crystal (PBE).

```
data_HfTaGaRu2
_space_group_name_H-M_alt 'P 1'
_space_group_IT_number 1
_cell_length_a 4.5901
_cell_length_b 4.7294
_cell_length_c 4.5901
_cell_angle_alpha 90.00
_cell_angle_beta 90.00
_cell_angle_gamma 90.00
loop_
_space_group_symop_operation_xyz
'x,y,z'
loop_
_atom_site_label
_atom_site_fract_x
_atom_site_fract_y
_atom_site_fract_z
_atom_site_occupancy
Ta1 0.0000 0.5000 0.0000 1
Ru1 0.0000 0.0000 0.5000 1
Ga1 0.0000 0.0000 0.0000 1
Hf1 0.5000 0.5000 0.5000 1
Ru2 0.5000 0.0000 0.0000 1
```

Results
The space-group type is No. 123. The total energy comes out at -39.31 eV for the cell shown.